BaLaRe2: optimized geometry, PBE.

Unit cell a=3.2873 b=4.9089 c=6.8358 alpha=90.00 beta=90.00 gamma=90.00
Closest atoms and distances in Å follow each position.
Positions (direct):
Re (0.0000, 0.0000, 0.5834)  1 Re 2.28
Re (0.0000, 0.0000, 0.9166)  1 Re 2.28
Ba (0.5000, 0.5000, 0.2500)  2 Ba 3.29, 2 La 3.42
La (0.5000, 0.5000, 0.7500)  8 Re 3.17, 2 La 3.29, 2 Ba 3.42

Properties
**Calculated formation energy**: 892 meV per atom
**Total DFT energy (no corrections)**: -7.044 eV/atom